# YCoB

A geometry-optimized YCoB structure (PBE-GGA, OQMD).

Calculated values
- energy above the most stable polymorph in this dataset (kcal/mol of atoms) = 0.00

Cell lengths 5.7539, 5.7539, 5.7539 Å; angles 90.00, 90.00, 90.00 degrees
Closest atoms and distances in Å follow each position.
Positions (direct):
1 Y 0.0000 0.0000 0.0000  4 B 2.49
2 Y 0.0000 0.5000 0.5000  4 B 2.49
3 Y 0.5000 0.0000 0.5000  4 B 2.49
4 Y 0.5000 0.5000 0.0000  4 B 2.49
5 Co 0.0000 0.0000 0.5000  4 B 2.49
6 Co 0.0000 0.5000 0.0000  4 B 2.49
7 Co 0.5000 0.0000 0.0000  4 B 2.49
8 Co 0.5000 0.5000 0.5000  4 B 2.49
9 B 0.2500 0.2500 0.7500  4 Co 2.49, 4 Y 2.49
10 B 0.2500 0.7500 0.2500  4 Co 2.49, 4 Y 2.49
11 B 0.7500 0.2500 0.2500  4 Co 2.49, 4 Y 2.49
12 B 0.7500 0.7500 0.7500  4 Co 2.49, 4 Y 2.49

***

# NdAlPO

A geometry-optimized NdAlPO structure (PBE-GGA, OQMD).

Calculated values
- energy above the most stable polymorph in this dataset (kcal/mol of atoms) = 0.04

Cell lengths 4.0653, 4.0653, 8.7115 Å; angles 90.00, 90.00, 90.00 degrees
Closest atoms and distances in Å follow each position.
Positions (direct):
1 Nd 0.2500 0.2500 0.1326  4 O 2.34
2 Nd 0.7500 0.7500 0.8674  4 O 2.34
3 Al 0.2500 0.7500 0.5000  4 P 2.46
4 Al 0.7500 0.2500 0.5000  4 P 2.46
5 P 0.2500 0.2500 0.6594  4 Al 2.46
6 P 0.7500 0.7500 0.3406  4 Al 2.46
7 O 0.2500 0.7500 0.0000  4 Nd 2.34
8 O 0.7500 0.2500 0.0000  4 Nd 2.34

***

# Pm2Sn2O5

A geometry-optimized Pm2Sn2O5 structure (PBE-GGA, OQMD).

Calculated values
- energy above the most stable polymorph in this dataset (kcal/mol of atoms) = 5.50

Cell lengths 4.2792, 4.2792, 7.0378 Å; angles 90.00, 90.00, 90.00 degrees
Closest atoms and distances in Å follow each position.
Positions (direct):
1 Pm 0.0000 0.0000 0.0000  8 O 2.74
2 Pm 0.0000 0.0000 0.5000  12 O 2.80-3.03
3 Sn 0.5000 0.5000 0.2106  5 O 2.04-2.15
4 Sn 0.5000 0.5000 0.7894  5 O 2.04-2.15
5 O 0.0000 0.5000 0.2426  2 Sn 2.15
6 O 0.0000 0.5000 0.7574  2 Sn 2.15
7 O 0.5000 0.0000 0.2426  2 Sn 2.15
8 O 0.5000 0.0000 0.7574  2 Sn 2.15
9 O 0.5000 0.5000 0.5000  2 Sn 2.04

***

# Tb2InCuNi

A geometry-optimized Tb2InCuNi structure (PBE-GGA, OQMD).

Cell lengths 3.6682, 4.0445, 14.2814 Å; angles 90.00, 90.00, 90.00 degrees
Closest atoms and distances in Å follow each position.
Positions (direct):
1 Tb 0.0000 0.0000 0.0000  4 Cu 2.88, 2 Ni 2.97
2 Tb 0.0000 0.0000 0.2714  4 Ni 2.88, 2 Cu 2.98
3 Tb 0.0000 0.5000 0.5000  4 Cu 2.88, 2 Ni 2.97
4 Tb 0.0000 0.5000 0.7714  4 Ni 2.88, 2 Cu 2.98
5 In 0.5000 0.0000 0.6384  1 Ni 2.83, 1 Cu 2.89
6 In 0.5000 0.5000 0.1384  1 Ni 2.83, 1 Cu 2.89
7 Cu 0.5000 0.0000 0.4362  2 Ni 2.47
8 Cu 0.5000 0.5000 0.9362  2 Ni 2.47
9 Ni 0.5000 0.0000 0.8366  2 Cu 2.47
10 Ni 0.5000 0.5000 0.3366  2 Cu 2.47

***

# LaSbW

A geometry-optimized LaSbW structure (PBE-GGA, OQMD).

Calculated values
- energy above the most stable polymorph in this dataset (kcal/mol of atoms) = 0.00

Cell lengths 6.7759, 6.7759, 6.7759 Å; angles 90.00, 90.00, 90.00 degrees
Closest atoms and distances in Å follow each position.
Positions (direct):
1 La 0.0000 0.0000 0.0000  4 W 2.93
2 La 0.0000 0.5000 0.5000  4 W 2.93
3 La 0.5000 0.0000 0.5000  4 W 2.93
4 La 0.5000 0.5000 0.0000  4 W 2.93
5 Sb 0.0000 0.0000 0.5000  4 W 2.93
6 Sb 0.0000 0.5000 0.0000  4 W 2.93
7 Sb 0.5000 0.0000 0.0000  4 W 2.93
8 Sb 0.5000 0.5000 0.5000  4 W 2.93
9 W 0.2500 0.2500 0.2500  4 La 2.93, 4 Sb 2.93
10 W 0.2500 0.7500 0.7500  4 La 2.93, 4 Sb 2.93
11 W 0.7500 0.2500 0.7500  4 La 2.93, 4 Sb 2.93
12 W 0.7500 0.7500 0.2500  4 La 2.93, 4 Sb 2.93

***

# Sm4B2I2BrCl2

A geometry-optimized Sm4B2I2BrCl2 structure (PBE-GGA, OQMD).

Cell lengths 10.4834, 10.4834, 8.2346 Å; angles 101.76, 101.76, 21.88 degrees
Closest atoms and distances in Å follow each position.
Positions (direct):
1 Sm 0.0019 0.0019 0.2047  4 B 2.69-2.75
2 Sm 0.3434 0.3434 0.8921  1 B 2.38
3 Sm 0.6566 0.6566 0.1079  1 B 2.38
4 Sm 0.9981 0.9981 0.7953  4 B 2.69-2.75
5 B 0.4610 0.4610 0.9765  1 B 1.57
6 B 0.5390 0.5390 0.0235  1 B 1.57
7 I 0.1692 0.1692 0.8175  4 Sm 3.16-3.51
8 I 0.8308 0.8308 0.1825  4 Sm 3.16-3.51
9 Br 0.5000 0.5000 0.5000  4 Sm 3.15
10 Cl 0.1529 0.1529 0.3383  3 Sm 2.76-3.07
11 Cl 0.8471 0.8471 0.6617  3 Sm 2.76-3.07

***

These records have final energy values of -78.74; -51.17; -58.75; -47.16; -82.49; -54.34 eV for the cell shown, in the order they appear.
These records have total magnetization values of 5.80; 0.02; 0.47; 0.00; 0.07; 0.01 μB/cell, in the order they appear.
These records have volume values of 190.50; 143.97; 128.87; 211.88; 311.09; 329.94 Å³/cell, in the order they appear.